Sn2SbMo2 PBE optimized geometry; energy = -6.4528 eV/atom; crystal system = tetragonal; magnetization = 0.000 μB per atom; formation energy from raw total energies = 147 kJ/mol of formula units; DOS at the Fermi energy = 11.2 states/eV/cell
1.0
7.378 0.000 0.000
0.000 7.378 0.000
0.000 0.000 3.733
Sn Sb Mo
4 2 4
direct
0.148 0.352 0.000
0.352 0.852 0.000
0.648 0.148 0.000
0.852 0.648 0.000
0.000 0.000 0.500
0.500 0.500 0.500
0.150 0.650 0.500
0.350 0.150 0.500
0.650 0.850 0.500
0.850 0.350 0.500